Ba2CaSc after structural relaxation, computed with PBE.

Properties
Energy above the most stable polymorph in this dataset   0.072 eV per atom
Formation energy from the elements   106 kJ/mol of formula units

a b c (Å): 3.9968 3.9968 38.5680
angles (deg): 90.00 90.00 120.00
Space group R3m (No. 160, hexagonal axes)
One atom of each set of equivalent atoms:
Ba 0.0000 0.0000 0.0000
Ba 0.0000 0.0000 0.2347
Ca 0.0000 0.0000 0.4782
Sc 0.0000 0.0000 0.7423



Ba2CaScSi after structural relaxation, computed with PBE.

Properties
E   -3.2150 eV/atom

a b c (Å): 6.432 6.432 5.709
angles (deg): 90.00 90.00 90.00
Space group P4/mmm (No. 123)
One atom of each set of equivalent atoms:
Ba 0.000 0.500 0.000
Ca 0.000 0.000 0.500
Sc 0.500 0.500 0.500
Si 0.000 0.000 0.000



Ba2CaSe after structural relaxation, computed with PBE.

Properties
E   -3.1404 eV/atom

a b c (Å): 4.049 5.972 13.879
angles (deg): 90.00 90.00 90.00
Space group Imm2 (No. 44)
One atom of each set of equivalent atoms:
Ba 0.000 0.000 0.000
Ba 0.000 0.500 0.180
Ca 0.000 0.000 0.358
Se 0.000 0.500 0.694



BaCaSe after structural relaxation, computed with PBE.

Properties
Energy above the most stable polymorph in this dataset   0.890 eV per atom

a b c (Å): 8.114 8.114 8.114
angles (deg): 90.00 90.00 90.00
Space group F-43m (No. 216)
One atom of each set of equivalent atoms:
Ba 0.000 0.000 0.000
Ca 0.250 0.250 0.250
Se 0.250 0.250 0.750



Ba2CaSe after structural relaxation, computed with PBE.

Properties
E   -3.1497 eV/atom

a b c (Å): 4.383 5.505 14.320
angles (deg): 90.00 90.00 90.00
Space group Amm2 (No. 38)
One atom of each set of equivalent atoms:
Ba 0.000 0.000 0.000
Ba 0.500 0.000 0.316
Ca 0.000 0.000 0.690
Se 0.500 0.000 0.548



BaCa2Se after structural relaxation, computed with PBE.

Properties
E   -2.7215 eV/atom

a b c (Å): 6.853 10.540 4.185
angles (deg): 90.00 90.00 90.00
Space group Cmmm (No. 65)
One atom of each set of equivalent atoms:
Ba 0.000 0.000 0.000
Ca 0.250 0.250 0.500
Se 0.000 0.500 0.000



The calculation returns the following volume values, one per record and in order: 533.6, 236.2, 335.6, 534.2, 345.5, 302.3 Å³ per cell.